(1)
Compound: Ca12Be17O29
Source: Alexandria
Functional: PBE
Structure: optimized geometry

Values from the calculation:
- final energy (eV per atom) = -6.8215

The structure in CIF format:
```
data_Ca12Be17O29
_space_group_name_H-M_alt 'F -4 3 m'
_space_group_IT_number 216
_space_group_name_Hall 'F -4 2 3'
_cell_length_a 14.085
_cell_length_b 14.085
_cell_length_c 14.085
_cell_angle_alpha 90.00
_cell_angle_beta 90.00
_cell_angle_gamma 90.00
loop_
_atom_site_label
_atom_site_type_symbol
_atom_site_fract_x
_atom_site_fract_y
_atom_site_fract_z
_atom_site_occupancy
Ca1 Ca 0.000 0.000 0.207 1
Ca2 Ca 0.004 0.250 0.250 1
Be1 Be 0.000 0.000 0.000 1
Be2 Be 0.138 0.138 0.138 1
Be3 Be 0.157 0.157 0.657 1
Be4 Be 0.159 0.159 0.341 1
Be5 Be 0.174 0.174 0.826 1
O1 O 0.069 0.069 0.069 1
O2 O 0.114 0.114 0.251 1
O3 O 0.114 0.114 0.749 1
O4 O 0.250 0.250 0.750 1
```


(2)
Compound: PrEr7Tm4
Source: Alexandria
Functional: PBE
Structure: optimized geometry

Values from the calculation:
- energy relative to the elements (eV per atom) = 0.289

The structure in CIF format:
```
data_PrEr7Tm4
_space_group_name_H-M_alt 'C 1 2/m 1'
_space_group_IT_number 12
_cell_length_a 11.992
_cell_length_b 5.806
_cell_length_c 12.485
_cell_angle_alpha 90.00
_cell_angle_beta 117.93
_cell_angle_gamma 90.00
loop_
_space_group_symop_operation_xyz
'x,y,z'
'-x,-y,-z'
'-x,y,-z'
'x,-y,z'
'x+1/2,y+1/2,z'
'-x+1/2,-y+1/2,-z'
'-x+1/2,y+1/2,-z'
'x+1/2,-y+1/2,z'
loop_
_atom_site_label
_atom_site_type_symbol
_atom_site_fract_x
_atom_site_fract_y
_atom_site_fract_z
_atom_site_occupancy
Pr1 Pr 0.000 0.000 0.000 1
Er1 Er 0.000 0.500 0.000 1
Er2 Er 0.058 0.000 0.332 1
Er3 Er 0.136 0.500 0.505 1
Er4 Er 0.211 0.000 0.922 1
Tm1 Tm 0.130 0.500 0.774 1
Tm2 Tm 0.247 0.500 0.315 1
```


(3)
Compound: LaH2S
Source: Alexandria
Functional: PBE
Structure: optimized geometry

Values from the calculation:
- final energy (eV per atom) = -4.8066

The structure in CIF format:
```
data_LaH2S
_space_group_name_H-M_alt 'P -6 m 2'
_space_group_IT_number 187
_space_group_name_Hall 'P -6 2'
_cell_length_a 4.0700
_cell_length_b 4.0700
_cell_length_c 4.0195
_cell_angle_alpha 90.00
_cell_angle_beta 90.00
_cell_angle_gamma 120.00
loop_
_atom_site_label
_atom_site_type_symbol
_atom_site_fract_x
_atom_site_fract_y
_atom_site_fract_z
_atom_site_occupancy
La1 La 0.0000 0.0000 0.0000 1
H1 H 0.3333 0.6667 0.0000 1
H2 H 0.6667 0.3333 0.0000 1
S1 S 0.3333 0.6667 0.5000 1
```


(4)
Compound: Pm8Te4S3N
Source: Alexandria
Functional: PBE
Structure: optimized geometry

Values from the calculation:
- final energy (eV per atom) = -6.0898

The structure in CIF format:
```
data_Pm8Te4S3N
_space_group_name_H-M_alt 'R -3 m'
_space_group_IT_number 166
_space_group_name_Hall '-R 3 2"'
_cell_length_a 8.2594
_cell_length_b 8.2594
_cell_length_c 21.3653
_cell_angle_alpha 90.00
_cell_angle_beta 90.00
_cell_angle_gamma 120.00
loop_
_atom_site_label
_atom_site_type_symbol
_atom_site_fract_x
_atom_site_fract_y
_atom_site_fract_z
_atom_site_occupancy
Pm1 Pm 0.0000 0.0000 0.2356 1
Pm2 Pm 0.0248 0.5124 0.2323 1
Te1 Te 0.0000 0.0000 0.0000 1
Te2 Te 0.0000 0.5000 0.0000 1
S1 S 0.0000 0.5000 0.5000 1
N1 N 0.0000 0.0000 0.5000 1
```


(5)
Compound: RbAg2F
Source: Alexandria
Functional: PBE
Structure: optimized geometry

Values from the calculation:
- final energy (eV per atom) = -2.5827

The structure in CIF format:
```
data_RbAg2F
_space_group_name_H-M_alt 'I 41/a m d'
_space_group_IT_number 141
_cell_length_a 5.226
_cell_length_b 5.226
_cell_length_c 18.996
_cell_angle_alpha 90.00
_cell_angle_beta 90.00
_cell_angle_gamma 90.00
loop_
_space_group_symop_operation_xyz
'x,y,z'
'-x,-y,-z'
'-y+1/4,x+3/4,z+1/4'
'y+1/4,-x+3/4,-z+1/4'
'-x+1/2,-y,z+1/2'
'x+1/2,y,-z+1/2'
'y+1/4,-x+1/4,z+3/4'
'-y+1/4,x+1/4,-z+3/4'
'x,-y,-z'
'-x,y,z'
'-y+1/4,-x+1/4,-z+3/4'
'y+1/4,x+1/4,z+3/4'
'-x+1/2,y,-z+1/2'
'x+1/2,-y,z+1/2'
'y+1/4,x+3/4,-z+1/4'
'-y+1/4,-x+3/4,z+1/4'
'x+1/2,y+1/2,z+1/2'
'-x+1/2,-y+1/2,-z+1/2'
'-y+3/4,x+1/4,z+3/4'
'y+3/4,-x+1/4,-z+3/4'
'-x,-y+1/2,z'
'x,y+1/2,-z'
'y+3/4,-x+3/4,z+1/4'
'-y+3/4,x+3/4,-z+1/4'
'x+1/2,-y+1/2,-z+1/2'
'-x+1/2,y+1/2,z+1/2'
'-y+3/4,-x+3/4,-z+1/4'
'y+3/4,x+3/4,z+1/4'
'-x,y+1/2,-z'
'x,-y+1/2,z'
'y+3/4,x+1/4,-z+3/4'
'-y+3/4,-x+1/4,z+3/4'
loop_
_atom_site_label
_atom_site_type_symbol
_atom_site_fract_x
_atom_site_fract_y
_atom_site_fract_z
_atom_site_occupancy
Rb1 Rb 0.000 0.250 0.375 1
Ag1 Ag 0.000 0.000 0.000 1
F1 F 0.000 0.250 0.875 1
```


(6)
Compound: Nd3Al6Ni5
Source: Alexandria
Functional: PBE
Structure: optimized geometry

Values from the calculation:
- energy relative to the elements (eV per atom) = -0.529

The structure in CIF format:
```
data_Nd3Al6Ni5
_space_group_name_H-M_alt 'P m m n'
_space_group_IT_number 59
_cell_length_a 4.142
_cell_length_b 12.576
_cell_length_c 9.318
_cell_angle_alpha 90.00
_cell_angle_beta 90.00
_cell_angle_gamma 90.00
loop_
_space_group_symop_operation_xyz
'x,y,z'
'-x,-y,-z'
'-x+1/2,-y+1/2,z'
'x+1/2,y+1/2,-z'
'x+1/2,-y,-z'
'-x+1/2,y,z'
'-x,y+1/2,-z'
'x,-y+1/2,z'
loop_
_atom_site_label
_atom_site_type_symbol
_atom_site_fract_x
_atom_site_fract_y
_atom_site_fract_z
_atom_site_occupancy
Nd1 Nd 0.250 0.050 0.243 1
Nd2 Nd 0.250 0.750 0.275 1
Al1 Al 0.250 0.067 0.576 1
Al2 Al 0.250 0.250 0.037 1
Al3 Al 0.250 0.250 0.415 1
Al4 Al 0.250 0.603 0.985 1
Ni1 Ni 0.250 0.095 0.868 1
Ni2 Ni 0.250 0.639 0.549 1
Ni3 Ni 0.250 0.750 0.788 1
```


| no. | spin magnetization (μB/f.u.) |
| --- | --- |
| 1 | 0.00 |
| 2 | 0.00 |
| 3 | 0.00 |
| 4 | 0.00 |
| 5 | 0.00 |
| 6 | 0.00 |